Pm2Y2Sb3 PBE-GGA optimized geometry; raw total energy = -6.0101 eV per atom; D(E_F) = 14.65 states/eV per cell; raw formation energy = -1039.1 meV per atom; density = 6.82 g cm⁻³; magnetic moment = 0.0 μB per cell
1.0
-4.665 4.665 4.665
4.665 -4.665 4.665
4.665 4.665 -4.665
Pm Y Sb
4 4 6
Direct
0.000 0.353 0.500
0.147 0.147 0.147
0.353 0.500 0.000
0.500 0.000 0.353
0.000 0.861 0.500
0.500 0.000 0.861
0.639 0.639 0.639
0.861 0.500 0.000
0.120 0.750 0.870
0.250 0.630 0.380
0.380 0.250 0.630
0.630 0.380 0.250
0.750 0.870 0.120
0.870 0.120 0.750

=====

Pm3YSb3 PBE-GGA optimized geometry; raw total energy = -5.7761 eV per atom; D(E_F) = 28.33 states/eV per cell; raw formation energy = -1050.0 meV per atom; density = 7.13 g cm⁻³; magnetic moment = 0.0 μB per cell; energy above the most stable polymorph in this dataset = 0 meV per atom
1.0
9.393 0.000 0.000
0.000 9.393 0.000
0.000 0.000 9.393
Pm Y Sb
12 4 12
Direct
0.068 0.432 0.568
0.178 0.822 0.322
0.179 0.179 0.179
0.321 0.821 0.679
0.322 0.178 0.822
0.432 0.568 0.068
0.568 0.068 0.432
0.678 0.678 0.678
0.679 0.321 0.821
0.821 0.679 0.321
0.822 0.322 0.178
0.932 0.932 0.932
0.072 0.572 0.928
0.428 0.428 0.428
0.572 0.928 0.072
0.928 0.072 0.572
0.001 0.254 0.873
0.127 0.501 0.246
0.246 0.127 0.501
0.254 0.873 0.001
0.373 0.499 0.746
0.499 0.746 0.373
0.501 0.246 0.127
0.627 0.999 0.754
0.746 0.373 0.499
0.754 0.627 0.999
0.873 0.001 0.254
0.999 0.754 0.627

=====

Pm2YSb2 PBE-GGA optimized geometry; raw total energy = -5.7035 eV per atom; D(E_F) = 7.15 states/eV per cell; raw formation energy = -861.5 meV per atom; density = 6.39 g cm⁻³; magnetic moment = 0.4 μB per cell
1.0
-4.278 5.930 3.189
4.278 -5.930 3.189
4.278 5.930 -3.189
Pm Y Sb
4 2 4
Direct
0.152 0.142 0.294
0.348 0.642 0.991
0.652 0.358 0.009
0.848 0.858 0.706
0.250 0.750 0.500
0.750 0.250 0.500
0.108 0.780 0.887
0.392 0.280 0.672
0.608 0.720 0.328
0.892 0.220 0.113

=====

Pm5Y5Sb6 PBE-GGA optimized geometry; raw total energy = -6.0115 eV per atom; D(E_F) = 15.79 states/eV per cell; raw formation energy = -961.0 meV per atom; density = 6.80 g cm⁻³; magnetic moment = 1.0 μB per cell
1.0
6.389 0.000 0.000
0.000 7.952 4.563
0.000 -7.952 4.563
Pm Y Sb
5 5 6
Direct
0.000 0.000 0.000
0.250 0.581 0.912
0.250 0.912 0.581
0.750 0.581 0.912
0.750 0.912 0.581
0.000 0.245 0.495
0.000 0.495 0.245
0.500 0.247 0.997
0.500 0.491 0.491
0.500 0.997 0.247
0.000 0.249 0.861
0.000 0.627 0.627
0.000 0.861 0.249
0.500 0.246 0.630
0.500 0.630 0.246
0.500 0.863 0.863

=====

Pm5YSb6 PBE-GGA optimized geometry; raw total energy = -5.7613 eV per atom; D(E_F) = 1.85 states/eV per cell; raw formation energy = -1182.0 meV per atom; density = 6.73 g cm⁻³; magnetic moment = 0.0 μB per cell
1.0
3.878 -6.717 0.000
3.878 6.717 0.000
-2.591 0.000 7.312
Pm Y Sb
5 1 6
Direct
0.000 0.000 0.000
0.166 0.834 0.500
0.332 0.668 0.000
0.668 0.332 0.000
0.834 0.166 0.500
0.500 0.500 0.500
0.088 0.418 0.253
0.253 0.253 0.749
0.418 0.088 0.253
0.582 0.912 0.747
0.747 0.747 0.251
0.912 0.582 0.747

=====

PmY5Sb4 PBE-GGA optimized geometry; raw total energy = -6.1285 eV per atom; D(E_F) = 5.43 states/eV per cell; raw formation energy = -772.4 meV per atom; density = 5.38 g cm⁻³; magnetic moment = 0.0 μB per cell
1.0
9.388 -2.172 0.000
9.388 2.172 0.000
-2.345 0.000 8.154
Pm Y Sb
1 5 4
Direct
0.000 0.000 0.000
0.000 0.000 0.500
0.323 0.323 0.649
0.338 0.338 0.171
0.662 0.662 0.829
0.677 0.677 0.351
0.172 0.172 0.093
0.492 0.492 0.737
0.508 0.508 0.263
0.828 0.828 0.907

=====

PmYSb2 PBE-GGA optimized geometry; raw total energy = -6.0399 eV per atom; D(E_F) = 0.66 states/eV per cell; raw formation energy = -1175.0 meV per atom; density = 6.39 g cm⁻³; magnetic moment = 0.0 μB per cell; energy above the most stable polymorph in this dataset = 0 meV per atom
1.0
2.223 1.283 7.246
-2.223 1.283 7.246
0.000 -2.567 7.246
Pm Y Sb
1 1 2
Direct
0.000 0.000 0.000
0.500 0.500 0.500
0.248 0.248 0.248
0.752 0.752 0.752

=====

PmYSb2 PBE-GGA optimized geometry; raw total energy = -5.7135 eV per atom; D(E_F) = 2.25 states/eV per cell; raw formation energy = -848.6 meV per atom; density = 6.99 g cm⁻³; magnetic moment = 0.0 μB per cell; energy above the most stable polymorph in this dataset = 326 meV per atom
1.0
0.000 3.842 3.842
3.842 0.000 3.842
3.842 3.842 0.000
Pm Y Sb
1 1 2
Direct
0.000 0.000 0.000
0.500 0.500 0.500
0.250 0.250 0.250
0.750 0.750 0.750

=====

Pm5Y2Sb5 PBE-GGA optimized geometry; raw total energy = -5.6945 eV per atom; D(E_F) = 8.71 states/eV per cell; raw formation energy = -920.0 meV per atom; density = 6.47 g cm⁻³; magnetic moment = 0.0 μB per cell
1.0
7.271 -2.215 0.000
7.271 2.215 0.000
-4.358 0.000 12.046
Pm Y Sb
5 2 5
Direct
0.000 0.000 0.000
0.160 0.160 0.538
0.227 0.227 0.846
0.773 0.773 0.154
0.840 0.840 0.462
0.455 0.455 0.712
0.545 0.545 0.288
0.190 0.190 0.290
0.383 0.383 0.073
0.500 0.500 0.500
0.617 0.617 0.927
0.810 0.810 0.710

=====

Pm4Y3Sb4 PBE-GGA optimized geometry; raw total energy = -5.7869 eV per atom; D(E_F) = 12.27 states/eV per cell; raw formation energy = -797.4 meV per atom; density = 6.71 g cm⁻³; magnetic moment = 0.0 μB per cell
1.0
-2.031 4.541 8.953
2.031 -4.541 8.953
2.031 4.541 -8.953
Pm Y Sb
4 3 4
Direct
0.006 0.831 0.174
0.343 0.169 0.174
0.657 0.831 0.826
0.994 0.169 0.826
0.000 0.500 0.500
0.404 0.404 0.000
0.596 0.596 0.000
0.273 0.773 0.500
0.288 0.000 0.288
0.712 0.000 0.712
0.727 0.227 0.500

=====

Pm3Y5Sb8 PBE-GGA optimized geometry; raw total energy = -6.1435 eV per atom; D(E_F) = 2.48 states/eV per cell; raw formation energy = -1171.5 meV per atom; density = 6.26 g cm⁻³; magnetic moment = 0.0 μB per cell
1.0
4.431 2.558 7.230
-4.431 2.558 7.230
0.000 -5.117 7.230
Pm Y Sb
3 5 8
Direct
0.000 0.500 0.500
0.500 0.000 0.500
0.500 0.500 0.000
0.000 0.000 0.000
0.000 0.000 0.500
0.000 0.500 0.000
0.500 0.000 0.000
0.500 0.500 0.500
0.246 0.750 0.750
0.248 0.248 0.248
0.250 0.250 0.754
0.250 0.754 0.250
0.750 0.246 0.750
0.750 0.750 0.246
0.752 0.752 0.752
0.754 0.250 0.250

=====

PmYSb2 PBE-GGA optimized geometry; raw total energy = -5.7546 eV per atom; D(E_F) = 1.79 states/eV per cell; raw formation energy = -889.8 meV per atom; density = 7.12 g cm⁻³; magnetic moment = 0.0 μB per cell; energy above the most stable polymorph in this dataset = 285 meV per atom
1.0
5.752 0.000 0.000
0.000 5.752 0.000
0.000 0.000 3.366
Pm Y Sb
1 1 2
Direct
0.000 0.000 0.000
0.500 0.500 0.000
0.000 0.500 0.500
0.500 0.000 0.500

=====

Q: Which value of magnetic moment does entry 12 give?
A: 0.0 μB per cell

=====

Q: Which formula does entry 8 have?
A: PmYSb2